# 1
A geometry-optimized CoAg3Br6 structure, computed with PBE.

The space group is R-3 (No. 148, hexagonal axes) and the conventional cell measures 11.3684, 11.3684 and 14.3146 Å, with angles of 90.00, 90.00 and 120.00 degrees. Symmetry generates all atoms from Co at (0.0000, 0.0000, 0.0000), Co at (0.0000, 0.0000, 0.5000), Ag at (0.0551, 0.2556, 0.2075), Br at (0.0387, 0.1922, 0.4034) and Br at (0.0536, 0.1941, 0.9011).

Its total energy is -2.850 eV/atom.

=====

# 2
A geometry-optimized CoAgBr3 structure, computed with PBE.

The space group is C2/c (No. 15) and the conventional cell measures 13.520, 12.727 and 6.938 Å, with angles of 90.00, 105.78 and 90.00 degrees. Symmetry generates all atoms from Co at (0.199, 0.081, 0.285), Ag at (0.000, 0.224, 0.750), Ag at (0.000, 0.396, 0.250), Br at (0.118, 0.414, 0.638), Br at (0.127, 0.239, 0.117) and Br at (0.139, 0.071, 0.583).

Its total energy is -3.281 eV/atom.

=====

# 3
A geometry-optimized CoAg3Br4 structure, computed with PBE.

The space group is I-42m (No. 121) and the conventional cell measures 6.172, 6.172 and 12.316 Å, with angles of 90.00, 90.00 and 90.00 degrees. Symmetry generates all atoms from Co at (0.000, 0.000, 0.000), Ag at (0.000, 0.000, 0.500), Ag at (0.000, 0.500, 0.250) and Br at (0.229, 0.229, 0.885).

Its total energy is -2.931 eV/atom.

=====

# 4
A geometry-optimized CoAg3Br6 structure, computed with PBE.

The space group is P2_1 (No. 4) and the conventional cell measures 8.072, 7.543 and 10.118 Å, with angles of 90.00, 99.72 and 90.00 degrees. Symmetry generates all atoms from Co at (0.186, 0.000, 0.336), Ag at (0.072, 0.028, 0.771), Ag at (0.329, 0.538, 0.664), Ag at (0.429, 0.601, 0.042), Br at (0.017, 0.471, 0.520), Br at (0.115, 0.219, 0.176), Br at (0.206, 0.723, 0.224), Br at (0.299, 0.323, 0.870), Br at (0.355, 0.838, 0.828) and Br at (0.436, 0.057, 0.485).

Its total energy is -2.853 eV/atom.

=====

# 5
A geometry-optimized Co2AgBr structure, computed with PBE.

The space group is P4mm (No. 99) and the conventional cell measures 3.151, 3.151 and 6.842 Å, with angles of 90.00, 90.00 and 90.00 degrees. Symmetry generates all atoms from Co at (0.000, 0.000, 0.000), Co at (0.500, 0.500, 0.149), Ag at (0.000, 0.000, 0.391) and Br at (0.500, 0.500, 0.766).

Its total energy is -4.260 eV/atom.

=====

# 6
A geometry-optimized CoAgBr structure, computed with PBE.

The space group is P3m1 (No. 156) and the conventional cell measures 3.3217, 3.3217 and 6.2305 Å, with angles of 90.00, 90.00 and 120.00 degrees. Symmetry generates all atoms from Co at (0.0000, 0.0000, 0.0000), Ag at (0.6667, 0.3333, 0.3038) and Br at (0.3333, 0.6667, 0.7580).

Its total energy is -3.541 eV/atom.

=====

# 7
A geometry-optimized Co2AgBr structure, computed with PBE.

The space group is R3m (No. 160, hexagonal axes) and the conventional cell measures 3.4394, 3.4394 and 20.8189 Å, with angles of 90.00, 90.00 and 120.00 degrees. Symmetry generates all atoms from Co at (0.0000, 0.0000, 0.0000), Co at (0.0000, 0.0000, 0.2822), Ag at (0.0000, 0.0000, 0.7508) and Br at (0.0000, 0.0000, 0.5325).

Its total energy is -4.265 eV/atom.

=====

# 8
A geometry-optimized Co4AgBr structure, computed with PBE.

The space group is F-43m (No. 216) and the conventional cell measures 7.025, 7.025 and 7.025 Å, with angles of 90.00, 90.00 and 90.00 degrees. Symmetry generates all atoms from Co at (0.125, 0.125, 0.125), Ag at (0.250, 0.250, 0.750) and Br at (0.000, 0.000, 0.500).

Its total energy is -4.844 eV/atom.